5
Lattice="1.824 1.053 13.573 -1.824 1.053 13.573 0.000 -2.106 13.573" Properties=species:S:1:pos:R:3 comment="La4Ag GGA-PBEsol relaxed" e_tot_ev_per_atom=-4.93 de_polymorph_ev_per_fu=0.44 ef_ev_per_atom=0.0067 volume_a3_per_atom=31.3 pbc="T T T"
La 0.000 0.000 4.439
La 0.000 0.000 12.079
La 0.000 0.000 28.640
La 0.000 0.000 36.279
Ag 0.000 0.000 20.359

5
Lattice="-2.126 2.126 5.438 2.126 -2.126 5.438 2.126 2.126 -5.438" Properties=species:S:1:pos:R:3 comment="SrTi2Ir2 GGA-PBEsol relaxed" e_tot_ev_per_atom=-8.23 ef_ev_per_atom=-0.6000 volume_a3_per_atom=19.7 pbc="T T T"
Sr 0.000 0.000 0.000
Ti 2.126 0.000 2.719
Ti 0.000 2.126 2.719
Ir 0.000 0.000 4.106
Ir 0.000 0.000 6.770

3
Lattice="4.727 0.000 0.000 -2.363 4.094 0.000 0.000 0.000 2.957" Properties=species:S:1:pos:R:3 comment="ZrHgAu GGA-PBEsol relaxed" e_tot_ev_per_atom=-4.93 ef_ev_per_atom=-0.4070 volume_a3_per_atom=19.1 pbc="T T T"
Zr 0.000 0.000 0.000
Hg 2.363 1.365 1.478
Au 0.000 2.729 1.478

5
Lattice="3.942 0.000 0.000 -1.971 3.414 0.000 0.000 0.000 6.584" Properties=species:S:1:pos:R:3 comment="CeZnCuP2 GGA-PBEsol relaxed" e_tot_ev_per_atom=-5.54 ef_ev_per_atom=-0.7176 volume_a3_per_atom=17.7 pbc="T T T"
Ce 0.000 0.000 0.000
Zn 0.000 2.276 4.078
Cu 1.971 1.138 2.307
P 0.000 2.276 1.681
P 1.971 1.138 4.790